Below is a relaxed ScCoAsSe2 crystal, with properties calculated at the PBE level.

Properties
Formation energy (no corrections) = -181.3 meV/atom
Space group = P4/mmm
Final energy = -5.193 eV per atom
E above lowest polymorph = 0 meV/atom

Unit cell a=4.8811 b=4.8811 c=4.2900 alpha=90.00 beta=90.00 gamma=90.00
Fractional coordinates of all 5 atoms:
Sc 0.0000 0.0000 0.0000
Co 0.5000 0.5000 0.5000
As 0.5000 0.5000 0.0000
Se 0.0000 0.5000 0.5000
Se 0.5000 0.0000 0.5000